Entry 1:
# PBE Dy3InRu, optimized geometry
# Calculated total energy in eV/atom: -5.480
# Energy relative to the elements in eV/atom: -0.316
data_Dy3InRu
_cell_length_a 11.913
_cell_length_b 5.466
_cell_length_c 8.922
_cell_angle_alpha 90.00
_cell_angle_beta 112.64
_cell_angle_gamma 90.00
_symmetry_space_group_name_H-M 'C 1 2/m 1'
_symmetry_Int_Tables_number 12
loop_
_symmetry_equiv_pos_as_xyz
'x,y,z'
'-x,-y,-z'
'-x,y,-z'
'x,-y,z'
'x+1/2,y+1/2,z'
'-x+1/2,-y+1/2,-z'
'-x+1/2,y+1/2,-z'
'x+1/2,-y+1/2,z'
loop_
_atom_site_label
_atom_site_fract_x
_atom_site_fract_y
_atom_site_fract_z
_atom_site_occupancy
Dy1 0.106 0.000 0.231 1
Dy2 0.106 0.500 0.896 1
Dy3 0.168 0.000 0.671 1
In1 0.114 0.500 0.467 1
Ru1 0.145 0.000 0.955 1

Entry 2:
# PBE NdDy3Y3, optimized geometry
# Calculated total energy in eV/atom: -5.285
# Energy relative to the elements in eV/atom: 0.139
data_NdDy3Y3
_cell_length_a 6.2024
_cell_length_b 6.2024
_cell_length_c 42.8899
_cell_angle_alpha 90.00
_cell_angle_beta 90.00
_cell_angle_gamma 120.00
_symmetry_space_group_name_H-M 'R -3'
_symmetry_Int_Tables_number 148
_symmetry_space_group_name_Hall '-R 3'
loop_
_atom_site_label
_atom_site_fract_x
_atom_site_fract_y
_atom_site_fract_z
_atom_site_occupancy
Nd1 0.0000 0.0000 0.1667 1
Dy1 0.0001 0.3319 0.6334 1
Y1 0.9997 0.3331 0.0990 1

Entry 3:
# PBE Mn4AlAu, optimized geometry
# Calculated total energy in eV/atom: -7.105
# Energy relative to the elements in eV/atom: 0.179
data_Mn4AlAu
_cell_length_a 6.790
_cell_length_b 6.790
_cell_length_c 6.790
_cell_angle_alpha 90.00
_cell_angle_beta 90.00
_cell_angle_gamma 90.00
_symmetry_space_group_name_H-M 'F -4 3 m'
_symmetry_Int_Tables_number 216
_symmetry_space_group_name_Hall 'F -4 2 3'
loop_
_atom_site_label
_atom_site_fract_x
_atom_site_fract_y
_atom_site_fract_z
_atom_site_occupancy
Mn1 0.124 0.124 0.124 1
Al1 0.250 0.250 0.750 1
Au1 0.000 0.000 0.500 1

Entry 4:
# PBE Li2PuCd2O6, optimized geometry
# Calculated total energy in eV/atom: -6.388
# Raw formation energy in eV/atom: -1.87
data_Li2PuCd2O6
_cell_length_a 6.662
_cell_length_b 8.843
_cell_length_c 6.507
_cell_angle_alpha 90.00
_cell_angle_beta 120.66
_cell_angle_gamma 90.00
_symmetry_space_group_name_H-M 'C 1 2/m 1'
_symmetry_Int_Tables_number 12
loop_
_symmetry_equiv_pos_as_xyz
'x,y,z'
'-x,-y,-z'
'-x,y,-z'
'x,-y,z'
'x+1/2,y+1/2,z'
'-x+1/2,-y+1/2,-z'
'-x+1/2,y+1/2,-z'
'x+1/2,-y+1/2,z'
loop_
_atom_site_label
_atom_site_fract_x
_atom_site_fract_y
_atom_site_fract_z
_atom_site_occupancy
Li1 0.000 0.157 0.000 1
Pu1 0.000 0.500 0.000 1
Cd1 0.000 0.250 0.500 1
O1 0.129 0.314 0.257 1
O2 0.214 0.000 0.001 1

Entry 5:
# PBE LiPtRh2, optimized geometry
# Calculated total energy in eV/atom: -5.466
# Energy relative to the elements in eV/atom: 0.198
data_LiPtRh2
_cell_length_a 3.662
_cell_length_b 3.662
_cell_length_c 18.088
_cell_angle_alpha 90.00
_cell_angle_beta 90.00
_cell_angle_gamma 90.00
_symmetry_space_group_name_H-M 'I -4 2 d'
_symmetry_Int_Tables_number 122
_symmetry_space_group_name_Hall 'I -4 2bw'
loop_
_atom_site_label
_atom_site_fract_x
_atom_site_fract_y
_atom_site_fract_z
_atom_site_occupancy
Li1 0.000 0.000 0.000 1
Pt1 0.000 0.000 0.500 1
Rh1 0.241 0.250 0.125 1

Entry 6:
# PBE W2AuBr, optimized geometry
# Calculated total energy in eV/atom: -6.581
# Raw formation energy in eV/atom: 1.13
data_W2AuBr
_cell_length_a 2.886
_cell_length_b 2.886
_cell_length_c 8.310
_cell_angle_alpha 90.00
_cell_angle_beta 90.00
_cell_angle_gamma 90.00
_symmetry_space_group_name_H-M 'P 4/m m m'
_symmetry_Int_Tables_number 123
_symmetry_space_group_name_Hall '-P 4 2'
loop_
_atom_site_label
_atom_site_fract_x
_atom_site_fract_y
_atom_site_fract_z
_atom_site_occupancy
W1 0.000 0.000 0.248 1
Au1 0.500 0.500 0.000 1
Br1 0.500 0.500 0.500 1

Entry 7:
# PBE TmZr12Sn6, optimized geometry
# Calculated total energy in eV/atom: -7.200
# Energy relative to the elements in eV/atom: -0.301
data_TmZr12Sn6
_cell_length_a 13.8907
_cell_length_b 13.8907
_cell_length_c 7.9121
_cell_angle_alpha 90.00
_cell_angle_beta 90.00
_cell_angle_gamma 120.00
_symmetry_space_group_name_H-M 'R -3'
_symmetry_Int_Tables_number 148
_symmetry_space_group_name_Hall '-R 3'
loop_
_atom_site_label
_atom_site_fract_x
_atom_site_fract_y
_atom_site_fract_z
_atom_site_occupancy
Tm1 0.0000 0.0000 0.0000 1
Zr1 0.0056 0.8696 0.6622 1
Zr2 0.0577 0.4874 0.6739 1
Sn1 0.0231 0.7580 0.3349 1

Entry 8:
# PBE LiHo2Cu12Ni3, optimized geometry
# Calculated total energy in eV/atom: -4.315
# Energy relative to the elements in eV/atom: -0.006
data_LiHo2Cu12Ni3
_cell_length_a 8.3796
_cell_length_b 8.3796
_cell_length_c 12.2085
_cell_angle_alpha 90.00
_cell_angle_beta 90.00
_cell_angle_gamma 120.00
_symmetry_space_group_name_H-M 'R -3 m'
_symmetry_Int_Tables_number 166
_symmetry_space_group_name_Hall '-R 3 2"'
loop_
_atom_site_label
_atom_site_fract_x
_atom_site_fract_y
_atom_site_fract_z
_atom_site_occupancy
Li1 0.0000 0.0000 0.0000 1
Ho1 0.0000 0.0000 0.2548 1
Cu1 0.0174 0.5087 0.7060 1
Cu2 0.0465 0.5233 0.1008 1
Ni1 0.0000 0.5000 0.5000 1

Entry 9:
# PBE GaCuSi, optimized geometry
# Calculated total energy in eV/atom: -3.975
# Raw formation energy in eV/atom: 0.21
data_GaCuSi
_cell_length_a 3.685
_cell_length_b 3.685
_cell_length_c 6.722
_cell_angle_alpha 90.00
_cell_angle_beta 90.00
_cell_angle_gamma 90.00
_symmetry_space_group_name_H-M 'P 4/n m m'
_symmetry_Int_Tables_number 129
loop_
_symmetry_equiv_pos_as_xyz
'x,y,z'
'-x,-y,-z'
'-y+1/2,x,z'
'y+1/2,-x,-z'
'-x+1/2,-y+1/2,z'
'x+1/2,y+1/2,-z'
'y,-x+1/2,z'
'-y,x+1/2,-z'
'x+1/2,-y,-z'
'-x+1/2,y,z'
'-y,-x,-z'
'y,x,z'
'-x,y+1/2,-z'
'x,-y+1/2,z'
'y+1/2,x+1/2,-z'
'-y+1/2,-x+1/2,z'
loop_
_atom_site_label
_atom_site_fract_x
_atom_site_fract_y
_atom_site_fract_z
_atom_site_occupancy
Ga1 0.250 0.750 0.000 1
Cu1 0.250 0.250 0.272 1
Si1 0.250 0.250 0.619 1

Entry 10:
# PBE Mn2AgP, optimized geometry
# Calculated total energy in eV/atom: -6.508
# Energy relative to the elements in eV/atom: 0.142
data_Mn2AgP
_cell_length_a 3.299
_cell_length_b 4.556
_cell_length_c 7.581
_cell_angle_alpha 90.00
_cell_angle_beta 90.00
_cell_angle_gamma 90.00
_symmetry_space_group_name_H-M 'I m m m'
_symmetry_Int_Tables_number 71
_symmetry_space_group_name_Hall '-I 2 2'
loop_
_atom_site_label
_atom_site_fract_x
_atom_site_fract_y
_atom_site_fract_z
_atom_site_occupancy
Mn1 0.000 0.000 0.207 1
Ag1 0.000 0.500 0.000 1
P1 0.000 0.500 0.500 1

Entry 11:
# PBE InSiPb2, optimized geometry
# Calculated total energy in eV/atom: -3.519
# Raw formation energy in eV/atom: 0.38
data_InSiPb2
_cell_length_a 7.570
_cell_length_b 7.570
_cell_length_c 7.570
_cell_angle_alpha 90.00
_cell_angle_beta 90.00
_cell_angle_gamma 90.00
_symmetry_space_group_name_H-M 'F -4 3 m'
_symmetry_Int_Tables_number 216
_symmetry_space_group_name_Hall 'F -4 2 3'
loop_
_atom_site_label
_atom_site_fract_x
_atom_site_fract_y
_atom_site_fract_z
_atom_site_occupancy
In1 0.000 0.000 0.000 1
Si1 0.250 0.250 0.250 1
Pb1 0.000 0.000 0.500 1
Pb2 0.250 0.250 0.750 1

Entry 12:
# PBE YPuAg2, optimized geometry
# Calculated total energy in eV/atom: -6.683
# Energy relative to the elements in eV/atom: -0.058
data_YPuAg2
_cell_length_a 7.341
_cell_length_b 7.341
_cell_length_c 7.341
_cell_angle_alpha 90.00
_cell_angle_beta 90.00
_cell_angle_gamma 90.00
_symmetry_space_group_name_H-M 'F m -3 m'
_symmetry_Int_Tables_number 225
_symmetry_space_group_name_Hall '-F 4 2 3'
loop_
_atom_site_label
_atom_site_fract_x
_atom_site_fract_y
_atom_site_fract_z
_atom_site_occupancy
Y1 0.000 0.000 0.000 1
Pu1 0.000 0.000 0.500 1
Ag1 0.250 0.250 0.250 1